Cu3HPb | the Alexandria database | PBE | relaxed; Fermi-level density of states = 0.225 states/eV/atom; total DFT energy (no corrections) = -17.837 eV per cell; SG = Pm-3m, No. 221
1.0
4.0320 0.0000 0.0000
0.0000 4.0320 0.0000
0.0000 0.0000 4.0320
Cu H Pb
3 1 1
direct
0.0000 0.0000 0.5000
0.0000 0.5000 0.0000
0.5000 0.0000 0.0000
0.0000 0.0000 0.0000
0.5000 0.5000 0.5000